The following is a DFT calculation (PBEsol) of a geometry-optimized CoAg4W structure.

Cell and atoms, written as POSCAR:
```
CoAg4W
1.0
-4.778 -1.276 1.445
-1.759 -4.770 -0.839
-0.722 -3.214 3.962
Ag W Co
4 1 1
Cartesian
-4.536 -5.786 2.854
-2.148 -5.149 2.132
-4.175 -4.180 0.875
-3.657 -3.403 3.274
0.000 0.000 0.000
-1.815 -2.315 1.142
```

Values from the calculation:
E	-29.03	eV for the cell shown
DFT formation energy	960	meV per atom
space-group type	F-43m, No. 216

The following is a DFT calculation (PBEsol) of a geometry-optimized Ba2NiP structure.

Cell and atoms, written as POSCAR:
```
Ba2NiP
1.0
-0.015 -3.897 -1.565
-0.674 -1.841 4.590
-4.731 1.195 -2.929
Ni P Ba
1 1 2
Cartesian
-1.906 -0.835 2.099
-1.333 -2.815 1.389
-2.885 -1.793 -1.143
-5.120 -0.661 1.697
```

Values from the calculation:
E	-18.55	eV for the cell shown
DFT formation energy	-575	meV per atom
space-group type	Amm2, No. 38

The following is a DFT calculation (PBEsol) of a geometry-optimized NdP structure.

Cell and atoms, written as POSCAR:
```
NdP
1.0
4.114 0.000 0.000
2.057 3.563 0.000
2.057 1.188 3.359
P Nd
1 1
Cartesian
4.114 2.375 1.680
0.000 0.000 0.000
```

Values from the calculation:
E	-14.04	eV for the cell shown
DFT formation energy	-1543	meV per atom
space-group type	Fm-3m, No. 225